The following is a DFT calculation (SCAN) of ZrOsCl at its PBEsol-relaxed geometry.

For the excess energy over the best structure of this formula in the dataset, the calculation gives 147 kJ/mol of formula units.

abc: 4.401 4.401 4.401
angles: 60.00 60.00 60.00
Fractional coordinates of all 3 atoms:
Zr 0.000 0.000 0.000
Os 0.250 0.250 0.250
Cl 0.750 0.750 0.750

---

The following is a DFT calculation (SCAN) of ZrOsCl at its PBEsol-relaxed geometry.

For the excess energy over the best structure of this formula in the dataset, the calculation gives 0 kJ/mol of formula units.

abc: 4.252 4.252 3.077
angles: 90.00 90.00 120.00
Fractional coordinates of all 3 atoms:
Zr 0.000 0.000 0.000
Os 0.667 0.333 0.500
Cl 0.333 0.667 0.500

---

The following is a DFT calculation (SCAN) of ZrOsCl at its PBEsol-relaxed geometry.

For the excess energy over the best structure of this formula in the dataset, the calculation gives 118 kJ/mol of formula units.

abc: 4.346 4.346 4.346
angles: 60.00 60.00 60.00
Fractional coordinates of all 3 atoms:
Zr 0.000 0.000 0.000
Os 0.750 0.750 0.750
Cl 0.500 0.500 0.500

---

The following is a DFT calculation (SCAN) of PCl3 at its PBEsol-relaxed geometry.

abc: 8.215 9.363 6.285
angles: 90.00 90.00 90.00
Fractional coordinates of all 16 atoms:
P 0.027 0.250 0.053
P 0.473 0.750 0.553
P 0.527 0.250 0.447
P 0.973 0.750 0.947
Cl 0.131 0.082 0.215
Cl 0.131 0.418 0.215
Cl 0.168 0.250 0.781
Cl 0.332 0.750 0.281
Cl 0.369 0.582 0.715
Cl 0.369 0.918 0.715
Cl 0.631 0.082 0.285
Cl 0.631 0.418 0.285
Cl 0.668 0.250 0.719
Cl 0.832 0.750 0.219
Cl 0.869 0.582 0.785
Cl 0.869 0.918 0.785

---

The following is a DFT calculation (SCAN) of PCl at its PBEsol-relaxed geometry.

For the excess energy over the best structure of this formula in the dataset, the calculation gives 240 kJ/mol of formula units.

abc: 3.029 3.029 4.202
angles: 90.00 90.00 120.00
Fractional coordinates of all 2 atoms:
P 0.000 0.000 0.000
Cl 0.667 0.333 0.500

---

The following is a DFT calculation (SCAN) of PCl at its PBEsol-relaxed geometry.

For the excess energy over the best structure of this formula in the dataset, the calculation gives 0 kJ/mol of formula units.

abc: 3.674 3.505 7.015
angles: 90.00 90.84 90.00
Fractional coordinates of all 4 atoms:
P 0.205 0.250 0.010
P 0.795 0.750 0.990
Cl 0.238 0.250 0.303
Cl 0.762 0.750 0.697

---

The following is a DFT calculation (SCAN) of PCl at its PBEsol-relaxed geometry.

For the excess energy over the best structure of this formula in the dataset, the calculation gives 243 kJ/mol of formula units.

abc: 3.040 3.040 8.337
angles: 90.00 90.00 120.00
Fractional coordinates of all 4 atoms:
P 0.333 0.667 0.250
P 0.667 0.333 0.750
Cl 0.000 0.000 0.000
Cl 0.000 0.000 0.500

---

The following is a DFT calculation (SCAN) of PCl3 at its PBEsol-relaxed geometry.

abc: 6.684 6.684 3.440
angles: 90.00 90.00 138.47
Fractional coordinates of all 4 atoms:
P 0.000 0.000 0.000
Cl 0.133 0.867 0.500
Cl 0.500 0.500 0.000
Cl 0.867 0.133 0.500

---

The following is a DFT calculation (SCAN) of PCl3 at its PBEsol-relaxed geometry.

abc: 6.562 6.562 6.562
angles: 151.72 136.26 52.91
Fractional coordinates of all 4 atoms:
P 0.000 0.000 0.000
Cl 0.153 0.653 0.500
Cl 0.500 0.500 0.000
Cl 0.847 0.347 0.500

---

The following is a DFT calculation (SCAN) of P2Cl3 at its PBEsol-relaxed geometry.

abc: 4.664 4.664 6.906
angles: 90.00 90.00 120.00
Fractional coordinates of all 5 atoms:
P 0.333 0.667 0.015
P 0.667 0.333 0.985
Cl 0.000 0.000 0.000
Cl 0.333 0.667 0.310
Cl 0.667 0.333 0.690

---

The following is a DFT calculation (SCAN) of PCl3 at its PBEsol-relaxed geometry.

abc: 3.313 3.313 9.612
angles: 90.00 90.00 123.85
Fractional coordinates of all 4 atoms:
P 0.000 0.000 0.000
Cl 0.000 0.000 0.500
Cl 0.500 0.500 0.183
Cl 0.500 0.500 0.817

---

The following is a DFT calculation (SCAN) of PCl at its PBEsol-relaxed geometry.

For the excess energy over the best structure of this formula in the dataset, the calculation gives 126 kJ/mol of formula units.

abc: 6.602 6.602 6.602
angles: 151.24 143.05 47.48
Fractional coordinates of all 4 atoms:
P 0.435 0.185 0.250
P 0.565 0.815 0.750
Cl 0.125 0.375 0.750
Cl 0.875 0.625 0.250

---

| no. | VASP energy (eV per atom) | mass density (g/cm³) |
| --- | --- | --- |
| 1 | -36.404 | 8.73 |
| 2 | -36.912 | 10.92 |
| 3 | -36.504 | 9.06 |
| 4 | -9.328 | 1.89 |
| 5 | -8.354 | 3.30 |
| 6 | -9.595 | 2.44 |
| 7 | -8.337 | 3.31 |
| 8 | -8.959 | 2.24 |
| 9 | -8.550 | 2.48 |
| 10 | -9.086 | 2.15 |
| 11 | -8.358 | 2.60 |
| 12 | -8.944 | 2.66 |